[1]
Here is LaSb3 after structural relaxation from Alexandria. Energies are from PBE.

Calculated values
- Formation energy without anion corrections: -2.3 eV per formula unit

Lattice parameters (Å, degrees): 4.5883 22.7142 4.5793 90.00 90.00 90.00
Space group Cmcm (No. 63)
Inequivalent atoms, fractional coordinates:
La  0.0000  0.0766  0.2500 (multiplicity 4)
Sb  0.0000  0.1847  0.7500 (multiplicity 4)
Sb  0.0000  0.3161  0.7500 (multiplicity 4)
Sb  0.0000  0.4478  0.2500 (multiplicity 4)

[2]
Here is ScAsP3 after structural relaxation from Alexandria. Energies are from PBE.

Calculated values
- Energy of formation: 0.454 eV/atom
- Offset from the most stable computed form: 0.000 eV per atom

Lattice parameters (Å, degrees): 4.6729 4.6729 4.6729 90.00 90.00 90.00
Space group Pm-3m (No. 221)
Inequivalent atoms, fractional coordinates:
Sc  0.0000  0.0000  0.0000 (multiplicity 1)
As  0.5000  0.5000  0.5000 (multiplicity 1)
P  0.0000  0.5000  0.5000 (multiplicity 3)

[3]
Here is Li2Ce2ErGe2 after structural relaxation from Alexandria. Energies are from PBE.

Calculated values
- Energy of formation: -0.471 eV/atom

Lattice parameters (Å, degrees): 4.3805 4.3805 26.1199 90.00 90.00 120.00
Space group R-3m (No. 166, hexagonal axes)
Inequivalent atoms, fractional coordinates:
Li  0.0000  0.0000  0.0965 (multiplicity 6)
Ce  0.0000  0.0000  0.3592 (multiplicity 6)
Er  0.0000  0.0000  0.5000 (multiplicity 3)
Ge  0.0000  0.0000  0.2329 (multiplicity 6)

[4]
Here is KSiTe after structural relaxation from Alexandria. Energies are from PBE.

Calculated values
- Formation energy without anion corrections: 1.7 eV per formula unit
- Offset from the most stable computed form: 0.686 eV per atom

Lattice parameters (Å, degrees): 7.4904 7.4904 7.4904 90.00 90.00 90.00
Space group F-43m (No. 216)
Inequivalent atoms, fractional coordinates:
K  0.0000  0.0000  0.0000 (multiplicity 4)
Si  0.2500  0.2500  0.7500 (multiplicity 4)
Te  0.2500  0.2500  0.2500 (multiplicity 4)

[5]
Here is BaSr2OsO5 after structural relaxation from Alexandria. Energies are from PBE.

Calculated values
- Formation energy without anion corrections: -19.5 eV per formula unit

Lattice parameters (Å, degrees): 3.8577 6.0726 12.0262 90.00 90.00 90.00
Space group Immm (No. 71)
Inequivalent atoms, fractional coordinates:
Ba  0.0000  0.0000  0.0000 (multiplicity 2)
Sr  0.0000  0.5000  0.2149 (multiplicity 4)
Os  0.0000  0.0000  0.5000 (multiplicity 2)
O  0.0000  0.2348  0.3722 (multiplicity 8)
O  0.0000  0.5000  0.0000 (multiplicity 2)

[6]
Here is Nb2Re2Rh after structural relaxation from Alexandria. Energies are from PBE.

Calculated values
- Energy of formation: 0.388 eV/atom
- Offset from the most stable computed form: 0.000 eV per atom

Lattice parameters (Å, degrees): 7.4931 7.4931 3.0603 90.00 90.00 90.00
Space group P4/mbm (No. 127)
Inequivalent atoms, fractional coordinates:
Nb  0.1516  0.3484  0.0000 (multiplicity 4)
Re  0.1490  0.6490  0.5000 (multiplicity 4)
Rh  0.0000  0.0000  0.0000 (multiplicity 2)

[7]
Here is Pm8Ge2Pd after structural relaxation from Alexandria. Energies are from PBE.

Calculated values
- Energy of formation: -0.425 eV/atom

Lattice parameters (Å, degrees): 19.2267 4.8786 6.9212 90.00 103.30 90.00
Space group C2/m (No. 12)
Inequivalent atoms, fractional coordinates:
Pm  0.0232  0.0000  0.2799 (multiplicity 4)
Pm  0.0948  0.5000  0.9778 (multiplicity 4)
Pm  0.1569  0.5000  0.4962 (multiplicity 4)
Pm  0.2147  0.0000  0.8305 (multiplicity 4)
Ge  0.1831  0.0000  0.2549 (multiplicity 4)
Pd  0.0000  0.5000  0.5000 (multiplicity 2)

[8]
Here is K3Na2WSe6 after structural relaxation from Alexandria. Energies are from PBE.

Calculated values
- Formation energy without anion corrections: -8.7 eV per formula unit

Lattice parameters (Å, degrees): 7.3812 12.7167 7.7849 90.00 108.49 90.00
Space group C2/m (No. 12)
Inequivalent atoms, fractional coordinates:
K  0.0000  0.0000  0.0000 (multiplicity 2)
K  0.0000  0.3214  0.0000 (multiplicity 4)
Na  0.0000  0.1657  0.5000 (multiplicity 4)
W  0.0000  0.5000  0.5000 (multiplicity 2)
Se  0.2098  0.3562  0.6961 (multiplicity 8)
Se  0.2130  0.5000  0.3006 (multiplicity 4)

no.,spin magnetization (μB/atom)
1,0.000
2,0.000
3,0.307
4,0.339
5,0.088
6,0.000
7,0.000
8,0.070